Entry 1:
A plane-wave DFT calculation with PBE was carried out for an optimized crystal structure of KCrN.

The energy relative to the lowest polymorph listed for this composition is 136.7 meV per atom. The raw formation energy comes out at -113 meV/atom.

a b c (Å): 9.729 3.159 4.615
angles (deg): 90.01 90.00 90.00
Positions (direct):
N1 0.839 0.021 0.147
N2 0.012 0.521 0.647
Cr1 0.958 0.021 0.828
Cr2 0.893 0.521 0.328
K1 0.219 0.021 0.360
K2 0.632 0.521 0.860

---

Entry 2:
A plane-wave DFT calculation with PBE was carried out for an optimized crystal structure of NdZn6Cu2.

As for the formation enthalpy at 0 K: 230 meV per atom.

a b c (Å): 8.070 8.070 8.070
angles (deg): 60.00 60.00 60.00
Positions (direct):
Zn1 0.486 0.486 0.014
Zn2 0.486 0.014 0.014
Zn3 0.014 0.486 0.014
Zn4 0.486 0.014 0.486
Zn5 0.236 0.764 0.764
Zn6 0.014 0.486 0.486
Zn7 0.014 0.014 0.486
Zn8 0.764 0.764 0.236
Zn9 0.764 0.236 0.764
Zn10 0.764 0.236 0.236
Zn11 0.236 0.764 0.236
Zn12 0.236 0.236 0.764
Nd1 0.500 0.500 0.500
Nd2 0.750 0.750 0.750
Cu1 0.625 0.125 0.125
Cu2 0.125 0.125 0.625
Cu3 0.125 0.125 0.125
Cu4 0.125 0.625 0.125

---

Entry 3:
A plane-wave DFT calculation with PBE was carried out for an optimized crystal structure of AgPbO3.

The raw formation energy comes out at -425 meV/atom.

a b c (Å): 6.066 6.066 6.066
angles (deg): 56.76 56.76 56.76
Positions (direct):
Ag1 0.857 0.857 0.857
Ag2 0.143 0.143 0.143
O1 0.544 0.262 0.952
O2 0.456 0.738 0.048
O3 0.952 0.544 0.262
O4 0.738 0.048 0.456
O5 0.262 0.952 0.544
O6 0.048 0.456 0.738
Pb1 0.354 0.354 0.354
Pb2 0.646 0.646 0.646

---

Entry 4:
A plane-wave DFT calculation with PBE was carried out for an optimized crystal structure of MgHgPd4.

The energy relative to the lowest polymorph listed for this composition is 134.6 meV per atom. As for the formation enthalpy at 0 K: -215 meV per atom.

a b c (Å): 4.529 5.534 9.552
angles (deg): 90.00 103.71 90.00
Positions (direct):
Pd1 0.423 0.822 0.845
Pd2 0.838 0.322 0.675
Pd3 0.577 0.322 0.155
Pd4 0.294 0.570 0.588
Pd5 0.294 0.074 0.588
Pd6 0.706 0.574 0.412
Pd7 0.162 0.822 0.325
Pd8 0.706 0.070 0.412
Mg1 0.843 0.822 0.686
Mg2 0.157 0.322 0.314
Hg1 0.568 0.822 0.136
Hg2 0.432 0.322 0.864

---

E values (in eV/cell) by entry order: -38.77, -37.06, -47.12, -47.92.